## a
Entry from the Alexandria database: an optimized crystal structure of KNiN2F (GGA+U).

abc: 5.1431 5.1431 4.6773
angles: 90.00 90.00 90.00
Space group P4/mmm (No. 123)
Symmetry-distinct sites (fractional):
K: 0.0000 0.0000 0.0000 [1 per cell]
Ni: 0.5000 0.5000 0.5000 [1 per cell]
N: 0.0000 0.5000 0.0000 [2 per cell]
F: 0.0000 0.0000 0.5000 [1 per cell]

---

## b
Entry from the Alexandria database: an optimized crystal structure of KNiN2F (GGA+U).

abc: 3.6390 3.6390 5.5623
angles: 90.00 90.00 90.00
Space group P4/mmm (No. 123)
Symmetry-distinct sites (fractional):
K: 0.0000 0.0000 0.0000 [1 per cell]
Ni: 0.5000 0.5000 0.5000 [1 per cell]
N: 0.0000 0.5000 0.5000 [2 per cell]
F: 0.5000 0.5000 0.0000 [1 per cell]

---

Energetically preferred structure: b | next structure: +1412 meV per atom